A plane-wave DFT calculation with PBE was carried out for TaCuIrPb after structural relaxation.

Calculated values
Spin magnetization ... 0.000 μB per atom
Energy above the lowest structure with this stoichiometry ... 63.8 meV per atom

```
data_TaCuIrPb
_cell_length_a 6.5255
_cell_length_b 6.5255
_cell_length_c 6.5255
_cell_angle_alpha 90.00
_cell_angle_beta 90.00
_cell_angle_gamma 90.00
_space_group_name_H-M_alt 'F -4 3 m'
_space_group_IT_number 216
_space_group_name_Hall 'F -4 2 3'
loop_
_atom_site_label
_atom_site_type_symbol
_atom_site_fract_x
_atom_site_fract_y
_atom_site_fract_z
Ta1 Ta 0.0000 0.0000 0.0000
Cu1 Cu 0.0000 0.0000 0.5000
Ir1 Ir 0.2500 0.2500 0.7500
Pb1 Pb 0.2500 0.2500 0.2500
```

A plane-wave DFT calculation with PBE was carried out for YSnPd2 after structural relaxation.

Calculated values
VASP energy ... -0.2212 Ha/atom
Spin magnetization ... 0.000 μB per atom

```
data_YSnPd2
_cell_length_a 4.4436
_cell_length_b 6.2188
_cell_length_c 5.8704
_cell_angle_alpha 90.00
_cell_angle_beta 90.00
_cell_angle_gamma 90.00
_space_group_name_H-M_alt 'P m n 21'
_space_group_IT_number 31
loop_
_space_group_symop_operation_xyz
'x,y,z'
'-x+1/2,-y,z+1/2'
'-x,y,z'
'x+1/2,-y,z+1/2'
loop_
_atom_site_label
_atom_site_type_symbol
_atom_site_fract_x
_atom_site_fract_y
_atom_site_fract_z
Y1 Y 0.0000 0.0793 0.0000
Sn1 Sn 0.0000 0.6025 0.7625
Pd1 Pd 0.0000 0.2392 0.4876
Pd2 Pd 0.0000 0.6790 0.2833
```

A plane-wave DFT calculation with PBE was carried out for TbCo3 after structural relaxation.

Calculated values
Spin magnetization ... 0.018 μB per atom
Formation enthalpy at 0 K ... -9.6 kJ/mol of atoms

```
data_TbCo3
_cell_length_a 4.9605
_cell_length_b 4.9605
_cell_length_c 24.3556
_cell_angle_alpha 90.00
_cell_angle_beta 90.00
_cell_angle_gamma 120.00
_space_group_name_H-M_alt 'R -3 m'
_space_group_IT_number 166
_space_group_name_Hall '-R 3 2"'
loop_
_atom_site_label
_atom_site_type_symbol
_atom_site_fract_x
_atom_site_fract_y
_atom_site_fract_z
Tb1 Tb 0.0000 0.0000 0.0000
Tb2 Tb 0.0000 0.0000 0.1397
Co1 Co 0.0000 0.0000 0.3344
Co2 Co 0.0000 0.0000 0.5000
Co3 Co 0.0019 0.5010 0.9191
```

A plane-wave DFT calculation with PBE was carried out for NaLaAgSe3 after structural relaxation.

Calculated values
VASP energy ... -0.1588 Ha/atom
Spin magnetization ... 0.046 μB per atom

```
data_NaLaAgSe3
_cell_length_a 4.2439
_cell_length_b 13.5726
_cell_length_c 11.2232
_cell_angle_alpha 90.00
_cell_angle_beta 90.00
_cell_angle_gamma 90.00
_space_group_name_H-M_alt 'C m c m'
_space_group_IT_number 63
_space_group_name_Hall '-C 2c 2'
loop_
_atom_site_label
_atom_site_type_symbol
_atom_site_fract_x
_atom_site_fract_y
_atom_site_fract_z
Na1 Na 0.0000 0.2407 0.2500
La1 La 0.0000 0.0000 0.0000
Ag1 Ag 0.0000 0.4751 0.7500
Se1 Se 0.0000 0.0919 0.7500
Se2 Se 0.0000 0.3536 0.5696
```

A plane-wave DFT calculation with PBE was carried out for Pr2YTe3 after structural relaxation.

Calculated values
VASP energy ... -0.2073 Ha/atom
Spin magnetization ... 0.001 μB per atom

```
data_Pr2YTe3
_cell_length_a 4.4570
_cell_length_b 4.4570
_cell_length_c 11.0764
_cell_angle_alpha 90.00
_cell_angle_beta 90.00
_cell_angle_gamma 120.00
_space_group_name_H-M_alt 'P -3 m 1'
_space_group_IT_number 164
_space_group_name_Hall '-P 3 2"'
loop_
_atom_site_label
_atom_site_type_symbol
_atom_site_fract_x
_atom_site_fract_y
_atom_site_fract_z
Pr1 Pr 0.3333 0.6667 0.1705
Y1 Y 0.0000 0.0000 0.5000
Te1 Te 0.0000 0.0000 0.0000
Te2 Te 0.3333 0.6667 0.6549
```

A plane-wave DFT calculation with PBE was carried out for BaCd3In after structural relaxation.

Calculated values
VASP energy ... -0.0657 Ha/atom

```
data_BaCd3In
_cell_length_a 7.2581
_cell_length_b 11.6641
_cell_length_c 6.8935
_cell_angle_alpha 90.00
_cell_angle_beta 90.00
_cell_angle_gamma 90.00
_space_group_name_H-M_alt 'C m c m'
_space_group_IT_number 63
_space_group_name_Hall '-C 2c 2'
loop_
_atom_site_label
_atom_site_type_symbol
_atom_site_fract_x
_atom_site_fract_y
_atom_site_fract_z
Ba1 Ba 0.0000 0.2304 0.2500
Cd1 Cd 0.0000 0.0999 0.7500
Cd2 Cd 0.2148 0.5000 0.0000
In1 In 0.0000 0.3445 0.7500
```

A plane-wave DFT calculation with PBE was carried out for Sc2Fe3W2 after structural relaxation.

Calculated values
Spin magnetization ... 0.001 μB per atom
Formation enthalpy at 0 K ... 13.2 kJ/mol of atoms

```
data_Sc2Fe3W2
_cell_length_a 4.2380
_cell_length_b 4.2380
_cell_length_c 20.4876
_cell_angle_alpha 90.00
_cell_angle_beta 90.00
_cell_angle_gamma 120.00
_space_group_name_H-M_alt 'R 3 m'
_space_group_IT_number 160
_space_group_name_Hall 'R 3 -2"'
loop_
_atom_site_label
_atom_site_type_symbol
_atom_site_fract_x
_atom_site_fract_y
_atom_site_fract_z
Sc1 Sc 0.0000 0.0000 0.0000
Sc2 Sc 0.0000 0.0000 0.4889
Fe1 Fe 0.0000 0.0000 0.3658
Fe2 Fe 0.0000 0.0000 0.6177
Fe3 Fe 0.0000 0.0000 0.8706
W1 W 0.0000 0.0000 0.2420
W2 W 0.0000 0.0000 0.7463
```

A plane-wave DFT calculation with PBE was carried out for Ho2TmAl3Cu3 after structural relaxation.

Calculated values
VASP energy ... -0.1641 Ha/atom
Spin magnetization ... 0.000 μB per atom

```
data_Ho2TmAl3Cu3
_cell_length_a 3.9908
_cell_length_b 12.0693
_cell_length_c 6.9695
_cell_angle_alpha 90.00
_cell_angle_beta 90.00
_cell_angle_gamma 90.00
_space_group_name_H-M_alt 'A m m 2'
_space_group_IT_number 38
loop_
_space_group_symop_operation_xyz
'x,y,z'
'-x,-y,z'
'-x,y,z'
'x,-y,z'
'x,y+1/2,z+1/2'
'-x,-y+1/2,z+1/2'
'-x,y+1/2,z+1/2'
'x,-y+1/2,z+1/2'
loop_
_atom_site_label
_atom_site_type_symbol
_atom_site_fract_x
_atom_site_fract_y
_atom_site_fract_z
Ho1 Ho 0.0000 0.2071 0.0000
Tm1 Tm 0.0000 0.0000 0.3787
Al1 Al 0.5000 0.0000 0.0295
Al2 Al 0.5000 0.1183 0.6735
Cu1 Cu 0.0000 0.0000 0.7908
Cu2 Cu 0.5000 0.1652 0.2930
```